This record from the Alexandria database describes crystalline Rb3La2ErO6 at its relaxed geometry. The functional is GGA-PBE.

Output
* ρ: 5.785 g/cm3
* DFT total energy: -157.56 eV per cell

Structure (CIF):
```
data_Rb3La2ErO6
_chemical_formula_sum 'Rb6 La4 Er2 O12'
_space_group_name_H-M_alt 'C 1 2/m 1'
_space_group_IT_number 12
_cell_length_a 6.334
_cell_length_b 10.978
_cell_length_c 6.913
_cell_angle_alpha 90.00
_cell_angle_beta 107.74
_cell_angle_gamma 90.00
loop_
_space_group_symop_operation_xyz
'x,y,z'
'-x,-y,-z'
'-x,y,-z'
'x,-y,z'
'x+1/2,y+1/2,z'
'-x+1/2,-y+1/2,-z'
'-x+1/2,y+1/2,-z'
'x+1/2,-y+1/2,z'
loop_
_atom_site_label
_atom_site_type_symbol
_atom_site_fract_x
_atom_site_fract_y
_atom_site_fract_z
Rb1 Rb 0.000 0.000 0.000
Rb2 Rb 0.000 0.336 0.000
La1 La 0.000 0.167 0.500
Er1 Er 0.000 0.500 0.500
O1 O 0.218 0.342 0.678
O2 O 0.242 0.000 0.678
```

***

This record from the Alexandria database describes crystalline Pm2MnZn3Ni12 at its relaxed geometry. The functional is GGA-PBE.

Output
* ρ: 7.663 g/cm3
* formation energy from the elements: 11.37 kJ/mol of atoms

Structure (CIF):
```
data_Pm2MnZn3Ni12
_chemical_formula_sum 'Pm6 Mn3 Zn9 Ni36'
_space_group_name_H-M_alt 'R -3 m'
_space_group_IT_number 166
_space_group_name_Hall '-R 3 2"'
_cell_length_a 6.0248
_cell_length_b 6.0248
_cell_length_c 25.7565
_cell_angle_alpha 90.00
_cell_angle_beta 90.00
_cell_angle_gamma 120.00
loop_
_atom_site_label
_atom_site_type_symbol
_atom_site_fract_x
_atom_site_fract_y
_atom_site_fract_z
Pm1 Pm 0.0000 0.0000 0.1534
Mn1 Mn 0.0000 0.0000 0.5000
Zn1 Zn 0.0000 0.5000 0.0000
Ni1 Ni 0.0530 0.5265 0.0969
Ni2 Ni 0.0728 0.5364 0.6149
```

***

This record from the Alexandria database describes crystalline Sr4In2C at its relaxed geometry. The functional is GGA-PBE.

Output
* ρ: 3.953 g/cm3
* formation energy from the elements: 11.33 kJ/mol of atoms

Structure (CIF):
```
data_Sr4In2C
_chemical_formula_sum 'Sr8 In4 C2'
_space_group_name_H-M_alt 'I 4/m m m'
_space_group_IT_number 139
_space_group_name_Hall '-I 4 2'
_cell_length_a 5.383
_cell_length_b 5.383
_cell_length_c 17.169
_cell_angle_alpha 90.00
_cell_angle_beta 90.00
_cell_angle_gamma 90.00
loop_
_atom_site_label
_atom_site_type_symbol
_atom_site_fract_x
_atom_site_fract_y
_atom_site_fract_z
Sr1 Sr 0.000 0.000 0.164
Sr2 Sr 0.000 0.500 0.000
In1 In 0.000 0.000 0.366
C1 C 0.000 0.000 0.000
```

***

This record from the Alexandria database describes crystalline TmMg2Ag5 at its relaxed geometry. The functional is GGA-PBE.

Output
* ρ: 8.128 g/cm3
* formation energy from the elements: -20.30 kJ/mol of atoms

Structure (CIF):
```
data_TmMg2Ag5
_chemical_formula_sum 'Tm2 Mg4 Ag10'
_space_group_name_H-M_alt 'I 4/m m m'
_space_group_IT_number 139
_space_group_name_Hall '-I 4 2'
_cell_length_a 4.631
_cell_length_b 4.631
_cell_length_c 14.424
_cell_angle_alpha 90.00
_cell_angle_beta 90.00
_cell_angle_gamma 90.00
loop_
_atom_site_label
_atom_site_type_symbol
_atom_site_fract_x
_atom_site_fract_y
_atom_site_fract_z
Tm1 Tm 0.000 0.000 0.000
Mg1 Mg 0.000 0.000 0.255
Ag1 Ag 0.000 0.000 0.500
Ag2 Ag 0.000 0.500 0.133
```

***

This record from the Alexandria database describes crystalline CdAgPd at its relaxed geometry. The functional is GGA-PBE.

Output
* ρ: 9.624 g/cm3
* formation energy from the elements: -11.58 kJ/mol of atoms
* polymorph energy (0 for the lowest one): 0.108 eV/atom

Structure (CIF):
```
data_CdAgPd
_chemical_formula_sum 'Cd2 Ag2 Pd2'
_space_group_name_H-M_alt 'P 4/n m m'
_space_group_IT_number 129
_cell_length_a 3.969
_cell_length_b 3.969
_cell_length_c 7.158
_cell_angle_alpha 90.00
_cell_angle_beta 90.00
_cell_angle_gamma 90.00
loop_
_space_group_symop_operation_xyz
'x,y,z'
'-x,-y,-z'
'-y+1/2,x,z'
'y+1/2,-x,-z'
'-x+1/2,-y+1/2,z'
'x+1/2,y+1/2,-z'
'y,-x+1/2,z'
'-y,x+1/2,-z'
'x+1/2,-y,-z'
'-x+1/2,y,z'
'-y,-x,-z'
'y,x,z'
'-x,y+1/2,-z'
'x,-y+1/2,z'
'y+1/2,x+1/2,-z'
'-y+1/2,-x+1/2,z'
loop_
_atom_site_label
_atom_site_type_symbol
_atom_site_fract_x
_atom_site_fract_y
_atom_site_fract_z
Cd1 Cd 0.250 0.250 0.175
Ag1 Ag 0.250 0.750 0.500
Pd1 Pd 0.250 0.250 0.793
```

***

This record from the Alexandria database describes crystalline Cu2SiRh at its relaxed geometry. The functional is GGA-PBE.

Output
* ρ: 8.254 g/cm3
* DFT total energy: -43.58 eV per cell

Structure (CIF):
```
data_Cu2SiRh
_chemical_formula_sum 'Cu4 Si2 Rh2'
_space_group_name_H-M_alt 'C 1 2/m 1'
_space_group_IT_number 12
_cell_length_a 4.951
_cell_length_b 9.095
_cell_length_c 2.727
_cell_angle_alpha 90.00
_cell_angle_beta 122.27
_cell_angle_gamma 90.00
loop_
_space_group_symop_operation_xyz
'x,y,z'
'-x,-y,-z'
'-x,y,-z'
'x,-y,z'
'x+1/2,y+1/2,z'
'-x+1/2,-y+1/2,-z'
'-x+1/2,y+1/2,-z'
'x+1/2,-y+1/2,z'
loop_
_atom_site_label
_atom_site_type_symbol
_atom_site_fract_x
_atom_site_fract_y
_atom_site_fract_z
Cu1 Cu 0.250 0.250 0.000
Si1 Si 0.000 0.000 0.500
Rh1 Rh 0.000 0.500 0.500
```

***

This record from the Alexandria database describes crystalline PrNd4Al at its relaxed geometry. The functional is GGA-PBE.

Output
* ρ: 6.354 g/cm3
* formation energy from the elements: -9.12 kJ/mol of atoms
* polymorph energy (0 for the lowest one): 0.000 eV/atom

Structure (CIF):
```
data_PrNd4Al
_chemical_formula_sum 'Pr1 Nd4 Al1'
_space_group_name_H-M_alt 'P 4/m m m'
_space_group_IT_number 123
_space_group_name_Hall '-P 4 2'
_cell_length_a 3.667
_cell_length_b 3.667
_cell_length_c 14.475
_cell_angle_alpha 90.00
_cell_angle_beta 90.00
_cell_angle_gamma 90.00
loop_
_atom_site_label
_atom_site_type_symbol
_atom_site_fract_x
_atom_site_fract_y
_atom_site_fract_z
Pr1 Pr 0.000 0.000 0.000
Nd1 Nd 0.000 0.000 0.367
Nd2 Nd 0.500 0.500 0.183
Al1 Al 0.500 0.500 0.500
```

***

This record from the Alexandria database describes crystalline AsSeF2 at its relaxed geometry. The functional is GGA-PBE.

Output
* ρ: 4.803 g/cm3
* polymorph energy (0 for the lowest one): 0.497 eV/atom

Structure (CIF):
```
data_AsSeF2
_chemical_formula_sum 'As3 Se3 F6'
_space_group_name_H-M_alt 'R -3 m'
_space_group_IT_number 166
_space_group_name_Hall '-R 3 2"'
_cell_length_a 2.8842
_cell_length_b 2.8842
_cell_length_c 27.6258
_cell_angle_alpha 90.00
_cell_angle_beta 90.00
_cell_angle_gamma 120.00
loop_
_atom_site_label
_atom_site_type_symbol
_atom_site_fract_x
_atom_site_fract_y
_atom_site_fract_z
As1 As 0.0000 0.0000 0.0000
Se1 Se 0.0000 0.0000 0.5000
F1 F 0.0000 0.0000 0.0671
```

***

This record from the Alexandria database describes crystalline ZrMnTe2 at its relaxed geometry. The functional is GGA-PBE.

Output
* ρ: 7.345 g/cm3
* polymorph energy (0 for the lowest one): 0.192 eV/atom

Structure (CIF):
```
data_ZrMnTe2
_chemical_formula_sum 'Zr1 Mn1 Te2'
_space_group_name_H-M_alt 'P 4/m m m'
_space_group_IT_number 123
_space_group_name_Hall '-P 4 2'
_cell_length_a 3.602
_cell_length_b 3.602
_cell_length_c 6.993
_cell_angle_alpha 90.00
_cell_angle_beta 90.00
_cell_angle_gamma 90.00
loop_
_atom_site_label
_atom_site_type_symbol
_atom_site_fract_x
_atom_site_fract_y
_atom_site_fract_z
Zr1 Zr 0.000 0.000 0.000
Mn1 Mn 0.000 0.000 0.500
Te1 Te 0.500 0.500 0.244
```

***

This record from the Alexandria database describes crystalline TbSm2Ni6 at its relaxed geometry. The functional is GGA-PBE.

Output
* ρ: 8.369 g/cm3
* formation energy from the elements: -34.62 kJ/mol of atoms

Structure (CIF):
```
data_TbSm2Ni6
_chemical_formula_sum 'Tb1 Sm2 Ni6'
_space_group_name_H-M_alt 'P 6/m m m'
_space_group_IT_number 191
_space_group_name_Hall '-P 6 2'
_cell_length_a 6.9168
_cell_length_b 6.9168
_cell_length_c 3.8877
_cell_angle_alpha 90.00
_cell_angle_beta 90.00
_cell_angle_gamma 120.00
loop_
_atom_site_label
_atom_site_type_symbol
_atom_site_fract_x
_atom_site_fract_y
_atom_site_fract_z
Tb1 Tb 0.0000 0.0000 0.0000
Sm1 Sm 0.3333 0.6667 0.0000
Ni1 Ni 0.0000 0.3323 0.5000
```

***

This record from the Alexandria database describes crystalline Dy3ReTc8 at its relaxed geometry. The functional is GGA-PBE.

Output
* ρ: 11.434 g/cm3
* formation energy from the elements: 2.98 kJ/mol of atoms

Structure (CIF):
```
data_Dy3ReTc8
_chemical_formula_sum 'Dy9 Re3 Tc24'
_space_group_name_H-M_alt 'R 3 m'
_space_group_IT_number 160
_space_group_name_Hall 'R 3 -2"'
_cell_length_a 5.3116
_cell_length_b 5.3116
_cell_length_c 25.9928
_cell_angle_alpha 90.00
_cell_angle_beta 90.00
_cell_angle_gamma 120.00
loop_
_atom_site_label
_atom_site_type_symbol
_atom_site_fract_x
_atom_site_fract_y
_atom_site_fract_z
Dy1 Dy 0.0000 0.0000 0.0000
Dy2 Dy 0.0000 0.0000 0.1271
Dy3 Dy 0.0000 0.0000 0.6247
Re1 Re 0.0000 0.0000 0.5045
Tc1 Tc 0.0000 0.0000 0.3140
Tc2 Tc 0.0000 0.0000 0.8126
Tc3 Tc 0.0054 0.5027 0.0668
Tc4 Tc 0.1695 0.3390 0.8929
```

***

This record from the Alexandria database describes crystalline DyThPdAu at its relaxed geometry. The functional is GGA-PBE.

Output
* ρ: 11.837 g/cm3
* formation energy from the elements: -78.68 kJ/mol of atoms
* polymorph energy (0 for the lowest one): 0.000 eV/atom

Structure (CIF):
```
data_DyThPdAu
_chemical_formula_sum 'Dy2 Th2 Pd2 Au2'
_space_group_name_H-M_alt 'A m m 2'
_space_group_IT_number 38
_cell_length_a 4.554
_cell_length_b 3.809
_cell_length_c 11.288
_cell_angle_alpha 90.00
_cell_angle_beta 90.00
_cell_angle_gamma 90.00
loop_
_space_group_symop_operation_xyz
'x,y,z'
'-x,-y,z'
'-x,y,z'
'x,-y,z'
'x,y+1/2,z+1/2'
'-x,-y+1/2,z+1/2'
'-x,y+1/2,z+1/2'
'x,-y+1/2,z+1/2'
loop_
_atom_site_label
_atom_site_type_symbol
_atom_site_fract_x
_atom_site_fract_y
_atom_site_fract_z
Dy1 Dy 0.000 0.000 0.000
Th1 Th 0.500 0.000 0.724
Pd1 Pd 0.000 0.000 0.267
Au1 Au 0.500 0.000 0.448
```